Below is crystalline Tl2Cd3In7 at its relaxed geometry, with properties calculated at the PBE-GGA level.

Formation enthalpy at 0 K: 0.030 eV per atom
Total magnetic moment: 0.00 μB/atom
E_tot: -2.190 eV/atom

Cell lengths 5.855, 3.285, 16.856 Å; angles 90.00, 94.77, 90.00 degrees
Fractional coordinates of all 12 atoms:
1 Tl 0.220 0.000 0.337
2 Tl 0.780 0.000 0.663
3 Cd 0.287 0.500 0.688
4 Cd 0.500 0.000 0.000
5 Cd 0.713 0.500 0.312
6 In 0.000 0.500 0.000
7 In 0.138 0.000 0.839
8 In 0.257 0.000 0.531
9 In 0.358 0.500 0.159
10 In 0.642 0.500 0.841
11 In 0.743 0.000 0.469
12 In 0.862 0.000 0.161

Below is crystalline K2CdTe at its relaxed geometry, with properties calculated at the PBE-GGA level.

Uncorrected formation energy: -0.462 eV per atom
Relative energy among the computed polymorphs: 0.67 eV/f.u.
Total magnetic moment: 0.00 μB/atom
E_tot: -2.025 eV/atom

Cell lengths 4.763, 4.789, 6.990 Å; angles 90.00, 90.00, 90.00 degrees
Fractional coordinates of all 4 atoms:
1 K 0.000 0.000 0.000
2 K 0.500 0.500 0.355
3 Cd 0.500 0.500 0.812
4 Te 0.000 0.000 0.515

Below is crystalline ScReHg2 at its relaxed geometry, with properties calculated at the PBE-GGA level.

Formation enthalpy at 0 K: 0.392 eV per atom
Relative energy among the computed polymorphs: 0.56 eV/f.u.
Total magnetic moment: 0.00 μB/atom
E_tot: -4.454 eV/atom

Cell lengths 4.762, 4.762, 4.762 Å; angles 60.00, 60.00, 60.00 degrees
Fractional coordinates of all 4 atoms:
1 Sc 0.000 0.000 0.000
2 Re 0.500 0.500 0.500
3 Hg 0.250 0.250 0.250
4 Hg 0.750 0.750 0.750